Entry 1:
Material: SmYAlRu
Method: DFT, PBE
State: optimized geometry

Values from the calculation:
volume: 89.3 Å³/cell
energy of formation from the pure elements: -0.295 eV per atom

Cell lengths 5.017, 5.017, 5.017 Å; angles 60.00, 60.00, 60.00 degrees
Atoms (fractional coordinates):
Y 0.500 0.500 0.500
Ru 0.750 0.750 0.750
Al 0.250 0.250 0.250
Sm 0.000 0.000 0.000

Entry 2:
Material: CaTlSi2
Method: DFT, PBE
State: optimized geometry

Values from the calculation:
energy above the most stable polymorph in this dataset: 0.0 meV/atom
volume: 98.7 Å³/cell
E_form (uncorrected): -0.103 eV per atom

Cell lengths 3.799, 4.758, 5.949 Å; angles 66.64, 90.00, 90.00 degrees
Atoms (fractional coordinates):
Ca 0.500 0.767 0.839
Si 0.000 0.194 0.987
Si 0.500 0.061 0.253
Tl 0.000 0.477 0.421

Entry 3:
Material: CsIrBr6
Method: DFT, PBE
State: optimized geometry

Values from the calculation:
volume: 282.2 Å³/cell
E_form (uncorrected): -0.532 eV per atom

Cell lengths 6.645, 6.645, 6.743 Å; angles 79.67, 79.67, 99.46 degrees
Last column: magnetic moment on the atom in μB.
Atoms (fractional coordinates):
Cs 0.500 0.500 0.500  0.00
Ir 0.000 0.000 0.000  0.83
Br 0.073 0.727 0.266  0.14
Br 0.727 0.073 0.266  0.14
Br 0.273 0.927 0.734  0.14
Br 0.927 0.273 0.734  0.14
Br 0.267 0.267 0.075  0.15
Br 0.733 0.733 0.925  0.15

Entry 4:
Material: RbTl3In2
Method: DFT, PBE
State: optimized geometry

Values from the calculation:
volume: 433.8 Å³/cell
energy of formation from the pure elements: -0.029 eV per atom

Cell lengths 6.381, 8.368, 8.368 Å; angles 103.83, 90.00, 90.00 degrees
Atoms (fractional coordinates):
Rb 0.250 0.326 0.326
Rb 0.750 0.674 0.674
Tl 0.750 0.447 0.110
Tl 0.750 0.110 0.447
Tl 0.250 0.553 0.890
Tl 0.750 0.048 0.048
Tl 0.250 0.952 0.952
Tl 0.250 0.890 0.553
In 0.500 0.781 0.219
In 0.000 0.781 0.219
In 0.000 0.219 0.781
In 0.500 0.219 0.781